Record 1
DFT (PBE-GGA) results for BaCr2Tc after structural relaxation.

Computed properties:
Formation energy (eV per atom): 0.64
Energy relative to the lowest polymorph listed for this composition (meV per atom): 11
Magnetic moment (Bohr magnetons per cell): 3.7

Cell lengths 4.1829, 4.1829, 18.4106 Å; angles 90.00, 90.00, 120.00 degrees
Space group R3m (No. 160, hexagonal axes)
Symmetry-distinct sites (fractional):
Ba1 0.0000 0.0000 0.0000 [3 per cell]
Cr1 0.0000 0.0000 0.4966 [3 per cell]
Cr2 0.0000 0.0000 0.8092 [3 per cell]
Tc1 0.0000 0.0000 0.1932 [3 per cell]


Record 2
DFT (PBE-GGA) results for BaCr2Tc after structural relaxation.

Computed properties:
Formation energy (eV per atom): 1.08
Energy relative to the lowest polymorph listed for this composition (meV per atom): 445
Magnetic moment (Bohr magnetons per cell): 12.5

Cell lengths 3.330, 5.777, 9.915 Å; angles 90.00, 90.00, 90.00 degrees
Space group Immm (No. 71)
Symmetry-distinct sites (fractional):
Ba1 0.000 0.000 0.000 [2 per cell]
Cr1 0.000 0.500 0.184 [4 per cell]
Tc1 0.000 0.000 0.500 [2 per cell]


Record 3
DFT (PBE-GGA) results for Ba2CrTc after structural relaxation.

Computed properties:
Formation energy (eV per atom): 1.28
Energy relative to the lowest polymorph listed for this composition (meV per atom): 830
Magnetic moment (Bohr magnetons per cell): 15.0

Cell lengths 3.6927, 3.6927, 31.3700 Å; angles 90.00, 90.00, 120.00 degrees
Space group R-3m (No. 166, hexagonal axes)
Symmetry-distinct sites (fractional):
Ba1 0.0000 0.0000 0.2388 [6 per cell]
Cr1 0.0000 0.0000 0.0000 [3 per cell]
Tc1 0.0000 0.0000 0.5000 [3 per cell]